Entry 1:
{"formula": "RbBe2VF8", "functional": "PBE with a Hubbard U", "state": "relaxed", "lattice_angstrom": [[-2.487, 3.836, 1.881], [-1.525, -0.109, 4.701], [5.695, 4.643, 4.555]], "species": ["Rb", "Be", "Be", "V", "F", "F", "F", "F", "F", "F", "F", "F"], "frac_coords": [[0.500, 0.500, 0.500], [0.262, 0.262, 0.214], [0.738, 0.738, 0.786], [0.000, 0.000, 0.000], [0.201, 0.201, 0.397], [0.605, 0.243, 0.143], [0.799, 0.799, 0.603], [0.010, 0.605, 0.143], [0.990, 0.395, 0.857], [0.243, 0.010, 0.143], [0.757, 0.990, 0.857], [0.395, 0.757, 0.857]], "crystal_system": "trigonal", "e_tot_ev_per_cell": -68.0}

=====

Entry 2:
{"formula": "Rb2BeV3F12", "functional": "PBE with a Hubbard U", "state": "relaxed", "lattice_angstrom": [[-3.993, -2.557, 5.361], [2.841, -5.004, 4.257], [1.739, 1.833, 6.697]], "species": ["Rb", "Rb", "Be", "V", "V", "V", "F", "F", "F", "F", "F", "F", "F", "F", "F", "F", "F", "F"], "frac_coords": [[0.636, 0.636, 0.636], [0.364, 0.364, 0.364], [0.000, 0.000, 0.000], [0.500, 0.000, 0.000], [0.000, 0.500, 0.000], [0.000, 0.000, 0.500], [0.332, 0.332, 0.938], [0.942, 0.942, 0.289], [0.289, 0.942, 0.942], [0.938, 0.332, 0.332], [0.942, 0.289, 0.942], [0.332, 0.938, 0.332], [0.668, 0.668, 0.062], [0.058, 0.058, 0.711], [0.711, 0.058, 0.058], [0.062, 0.668, 0.668], [0.058, 0.711, 0.058], [0.668, 0.062, 0.668]], "crystal_system": "trigonal", "e_tot_ev_per_cell": -102.3}

=====

Entry 3:
{"formula": "RbBe2WF8", "functional": "PBE with a Hubbard U", "state": "relaxed", "lattice_angstrom": [[-3.813, 2.969, 1.366], [-3.741, 0.924, -3.220], [-6.593, -5.250, 2.236]], "species": ["Rb", "Be", "Be", "W", "F", "F", "F", "F", "F", "F", "F", "F"], "frac_coords": [[0.500, 0.500, 0.500], [0.258, 0.258, 0.227], [0.742, 0.742, 0.773], [0.000, 0.000, 0.000], [0.197, 0.197, 0.408], [0.588, 0.256, 0.155], [0.803, 0.803, 0.592], [0.001, 0.588, 0.155], [0.999, 0.412, 0.845], [0.256, 0.001, 0.155], [0.744, 0.999, 0.845], [0.412, 0.744, 0.845]], "crystal_system": "trigonal", "e_tot_ev_per_cell": -66.5}

=====

Result set for calculated volume: 172.7 269.3 179.6 Å³ per cell, one per record in the order listed.